No. 1
The following is a PBE-GGA calculation of LiTaAl2 after structural relaxation, from Alexandria.

The structure belongs to space group I4/mmm (No. 139); the cell edges are 3.942, 3.942 and 8.197 Å and the angles 90.00°, 90.00° and 90.00°. The distinct sites, in fractional coordinates, are Li at (0.000, 0.000, 0.000), Ta at (0.000, 0.000, 0.500) and Al at (0.000, 0.500, 0.250).

The density comes out at 6.31 g/cm³.

No. 2
The following is a PBE-GGA calculation of Li2TaAl after structural relaxation, from Alexandria.

The structure belongs to space group P2/m (No. 10); the cell edges are 2.699, 4.916 and 5.069 Å and the angles 90.00°, 92.68° and 90.00°. The distinct sites, in fractional coordinates, are Li at (0.175, 0.000, 0.241), Ta at (0.500, 0.500, 0.000) and Al at (0.000, 0.500, 0.500).

The density comes out at 5.48 g/cm³. Its polymorph energy (0 for the lowest one) is 0.592 eV/f.u.

No. 3
The following is a PBE-GGA calculation of LiTaAl2 after structural relaxation, from Alexandria.

The structure belongs to space group I-4m2 (No. 119); the cell edges are 3.799, 3.799 and 8.933 Å and the angles 90.00°, 90.00° and 90.00°. The distinct sites, in fractional coordinates, are Li at (0.000, 0.000, 0.000), Ta at (0.000, 0.500, 0.750), Al at (0.000, 0.000, 0.500) and Al at (0.000, 0.500, 0.250).

The density comes out at 6.23 g/cm³.

Formation enthalpy at 0 K
In order: 0.01; 0.17; 0.02
Unit: eV per atom